1.
VASP calculation (PBE) on a relaxed GdAsNO crystal.

The structure in extended XYZ format:
```
8
Lattice="1.324 -0.426 -3.517 5.387 0.603 1.955 0.299 -4.999 0.719" Properties=species:S:1:pos:R:3 pbc="T T T"
Gd 3.018 -1.293 1.293
Gd 0.430 -3.354 0.569
O 2.168 -2.036 -0.971
O 4.924 -2.777 0.156
As 3.728 -4.247 -0.116
As 0.814 -0.852 -1.624
N 5.086 -0.423 1.966
N 2.573 -3.752 1.424
```

Properties
- energy above the most stable polymorph in this dataset (meV/atom) = 332
- calculated volume (Å³/f.u.) = 55
- uncorrected energy (eV/f.u.) = -27.21

***

2.
VASP calculation (PBE) on a relaxed GdAsN2O crystal.

The structure in extended XYZ format:
```
40
Lattice="7.219 0.000 0.000 -0.011 8.003 0.000 -0.003 -0.347 8.054" Properties=species:S:1:pos:R:3 pbc="T T T"
As 1.568 4.321 1.983
As 5.297 0.129 5.770
As 5.236 4.293 1.715
As 5.202 3.457 6.368
As 1.517 3.595 6.511
As 1.637 0.126 6.013
As 5.234 7.684 2.343
As 1.713 7.827 2.450
N 4.970 7.250 4.092
N 1.021 1.788 6.509
N 3.308 3.027 6.135
N 5.684 6.060 1.426
N 6.954 4.060 5.804
N 6.969 3.656 2.384
N 1.202 4.615 0.164
N 3.460 7.718 6.448
N 3.391 3.963 1.341
N 2.124 0.425 4.163
N 5.506 3.374 0.048
N 5.389 1.869 5.285
N 3.444 7.529 1.672
N 1.497 5.987 2.778
N 7.104 0.276 2.324
N 7.110 7.481 5.451
O 1.948 1.717 1.852
O 1.363 7.483 7.845
O 4.806 4.353 3.621
O 1.848 3.703 3.792
O 1.780 5.445 6.052
O 4.846 5.331 6.387
O 5.041 1.549 2.152
O 5.622 0.086 7.628
Gd 3.571 2.292 3.750
Gd 0.131 2.003 4.060
Gd 3.614 1.703 0.248
Gd 6.915 5.967 7.470
Gd 3.204 5.794 7.942
Gd 7.175 1.836 0.594
Gd 3.232 5.786 4.442
Gd 6.783 5.572 4.065
```

Properties
- calculated volume (Å³/f.u.) = 58
- uncorrected energy (eV/f.u.) = -35.39

***

3.
VASP calculation (PBE) on a relaxed GdAsN2O crystal.

The structure in extended XYZ format:
```
5
Lattice="3.785 0.000 0.000 0.000 3.824 0.000 -0.006 0.000 3.790" Properties=species:S:1:pos:R:3 pbc="T T T"
Gd 3.746 1.912 0.026
O 1.917 1.912 1.828
N 1.916 0.000 3.758
N -0.001 0.000 1.827
As 1.876 0.000 1.886
```

Properties
- calculated volume (Å³/f.u.) = 55
- uncorrected energy (eV/f.u.) = -34.25

***

4.
VASP calculation (PBE) on a relaxed GdAsNO crystal.

The structure in extended XYZ format:
```
16
Lattice="5.414 0.000 0.000 0.000 7.756 0.000 0.000 0.000 5.925" Properties=species:S:1:pos:R:3 pbc="T T T"
Gd 2.668 2.804 5.759
Gd 2.746 4.952 2.796
Gd 5.375 4.952 5.759
Gd 0.039 2.804 2.796
As 0.176 0.914 0.027
As 5.238 6.842 2.990
As 2.883 6.842 0.027
As 2.531 0.914 2.990
O 4.072 3.785 1.312
O 1.342 3.971 4.274
O 1.365 3.971 1.312
O 4.049 3.785 4.274
N 4.366 0.703 2.989
N 1.049 7.053 0.027
N 3.756 0.703 0.027
N 1.659 7.053 2.989
```

Properties
- energy above the most stable polymorph in this dataset (meV/atom) = 0
- calculated volume (Å³/f.u.) = 62
- uncorrected energy (eV/f.u.) = -28.54